Material: CeNd6Ga3
Method: DFT, PBE
State: optimized geometry

- crystal system = orthorhombic
- energy of formation (meV/atom) = -202
- magnetic moment (μB per formula unit) = 0.00

CIF file:
```
data_CeNd6Ga3
_chemical_formula_sum 'Ce2 Nd12 Ga6'
_cell_length_a 7.2926
_cell_length_b 9.3767
_cell_length_c 9.3767
_cell_angle_alpha 110.39
_cell_angle_beta 90.00
_cell_angle_gamma 90.00
_symmetry_space_group_name_H-M 'P 1'
_symmetry_Int_Tables_number 1
loop_
_symmetry_equiv_pos_as_xyz
'x,y,z'
loop_
_atom_site_label
_atom_site_type_symbol
_atom_site_fract_x
_atom_site_fract_y
_atom_site_fract_z
_atom_site_occupancy
Ce1 Ce 0.0829 0.1791 0.8209 1
Ce2 Ce 0.5829 0.8209 0.1791 1
Nd1 Nd 0.1175 0.7523 0.6822 1
Nd2 Nd 0.6175 0.6822 0.7523 1
Nd3 Nd 0.2624 0.5146 0.9062 1
Nd4 Nd 0.7624 0.9062 0.5146 1
Nd5 Nd 0.2854 0.9573 0.0427 1
Nd6 Nd 0.6522 0.2875 0.7125 1
Nd7 Nd 0.1522 0.7125 0.2875 1
Nd8 Nd 0.7854 0.0427 0.9573 1
Nd9 Nd 0.2624 0.0938 0.4854 1
Nd10 Nd 0.7624 0.4854 0.0938 1
Nd11 Nd 0.1175 0.3178 0.2477 1
Nd12 Nd 0.6175 0.2477 0.3178 1
Ga1 Ga 0.4360 0.9972 0.7406 1
Ga2 Ga 0.9360 0.7406 0.9972 1
Ga3 Ga 0.3330 0.4363 0.5637 1
Ga4 Ga 0.8330 0.5637 0.4363 1
Ga5 Ga 0.9360 0.0028 0.2594 1
Ga6 Ga 0.4360 0.2594 0.0028 1
```